Record 1
Computed, not measured: Rb3AcF6 after structural relaxation at the PBE level of DFT.

Cell and atoms, written as extended XYZ:
```
20
Lattice="8.815 0.000 0.000 0.000 10.988 0.000 0.000 0.000 4.302" Properties=species:S:1:pos:R:3 pbc="T T T"
Rb 0.000 0.000 0.000
Rb 1.916 2.753 2.151
Rb 2.492 8.247 0.000
Rb 4.408 5.494 2.151
Rb 6.324 2.741 0.000
Rb 6.899 8.235 2.151
Ac 0.000 5.494 0.000
Ac 4.408 0.000 2.151
F 0.240 2.972 0.000
F 1.005 6.425 2.151
F 1.930 10.578 2.151
F 2.478 5.084 0.000
F 3.402 0.931 0.000
F 4.168 8.466 2.151
F 4.648 2.522 2.151
F 5.413 10.057 0.000
F 6.337 5.904 0.000
F 6.886 0.410 2.151
F 7.810 4.563 2.151
F 8.576 8.016 0.000
```

Output
formation energy (no corrections)	-3262.2	meV per atom
space-group type	No. 58
total moment	0.17	μB/f.u.
energy above the most stable polymorph in this dataset	30	meV per atom

Record 2
Computed, not measured: RbAcF4 after structural relaxation at the PBE level of DFT.

Cell and atoms, written as extended XYZ:
```
6
Lattice="4.262 0.000 0.000 0.000 4.262 0.000 0.000 0.000 6.644" Properties=species:S:1:pos:R:3 pbc="T T T"
Rb 0.000 0.000 0.000
Ac 2.131 2.131 3.322
F 0.000 2.131 1.939
F 0.000 2.131 4.705
F 2.131 0.000 1.939
F 2.131 0.000 4.705
```

Output
formation energy (no corrections)	-3750.1	meV per atom
space-group type	No. 123
total moment	0.00	μB/f.u.

Record 3
Computed, not measured: Rb5Ac2F12 after structural relaxation at the PBE level of DFT.

Cell and atoms, written as extended XYZ:
```
19
Lattice="7.381 -4.347 0.000 7.381 4.347 0.000 -0.864 0.000 6.846" Properties=species:S:1:pos:R:3 pbc="T T T"
Rb 0.000 0.000 0.000
Rb 2.981 0.000 3.193
Rb 4.537 0.000 6.775
Rb 9.360 0.000 0.071
Rb 10.916 0.000 3.654
Ac 6.949 2.119 3.423
Ac 6.949 -2.119 3.423
F 0.438 0.000 4.400
F 5.236 2.564 5.119
F 4.922 1.708 2.124
F 8.661 2.564 1.728
F 8.975 1.708 4.722
F 6.494 0.000 4.769
F 7.403 0.000 2.077
F 4.922 -1.708 2.124
F 5.236 -2.564 5.119
F 8.975 -1.708 4.722
F 8.661 -2.564 1.728
F 13.459 0.000 2.447
```

Output
formation energy (no corrections)	-3174.2	meV per atom
space-group type	No. 12
total moment	1.33	μB/f.u.

Record 4
Computed, not measured: Rb3Ac2F8 after structural relaxation at the PBE level of DFT.

Cell and atoms, written as extended XYZ:
```
13
Lattice="4.383 -6.806 0.000 4.383 6.806 0.000 0.000 0.000 4.416" Properties=species:S:1:pos:R:3 pbc="T T T"
Rb 0.000 0.000 0.000
Rb 2.593 0.000 2.208
Rb 6.174 0.000 2.208
Ac 4.383 3.238 0.000
Ac 4.383 -3.238 0.000
F 2.049 2.050 0.000
F 4.383 4.884 2.208
F 4.383 2.138 2.208
F 2.049 -2.050 0.000
F 6.717 2.050 0.000
F 4.383 -2.138 2.208
F 4.383 -4.884 2.208
F 6.717 -2.050 0.000
```

Output
formation energy (no corrections)	-3299.6	meV per atom
space-group type	No. 65
total moment	0.97	μB/f.u.

Record 5
Computed, not measured: RbAcSeF2 after structural relaxation at the PBE level of DFT.

Cell and atoms, written as extended XYZ:
```
5
Lattice="4.918 0.000 0.000 0.000 4.918 0.000 0.000 0.000 6.150" Properties=species:S:1:pos:R:3 pbc="T T T"
Rb 0.000 0.000 0.000
Ac 2.459 2.459 2.904
Se 2.459 2.459 5.963
F 0.000 2.459 2.828
F 2.459 0.000 2.828
```

Output
formation energy (no corrections)	-2885.8	meV per atom
space-group type	No. 99
total moment	0.00	μB/f.u.

Record 6
Computed, not measured: RbSrAcF6 after structural relaxation at the PBE level of DFT.

Cell and atoms, written as extended XYZ:
```
18
Lattice="-4.382 4.582 6.514 4.382 -4.582 6.514 4.382 4.582 -6.514" Properties=species:S:1:pos:R:3 pbc="T T T"
Rb 0.000 2.291 0.163
Rb 4.382 2.291 6.351
Sr 2.191 2.291 -3.257
Sr 2.191 -2.291 3.257
Ac 4.382 0.000 0.000
Ac 0.000 0.000 6.514
F 2.568 -0.693 1.431
F 6.195 -0.693 1.431
F 4.382 -2.291 4.084
F 2.568 3.889 -1.431
F 1.814 -0.693 5.083
F 4.382 2.291 0.876
F 0.000 2.291 5.638
F 2.568 5.274 1.431
F 1.814 0.693 7.945
F 0.000 6.872 2.430
F -1.814 5.274 5.083
F 1.814 5.274 5.083
```

Output
formation energy (no corrections)	-3664.9	meV per atom
space-group type	No. 74
total moment	0.00	μB/f.u.